1.
Entry from Alexandria via LeMat-Bulk: crystalline Sc4Bi at its relaxed geometry (GGA-PBE).

**Excess energy over the best structure of this formula in the dataset**: 0.00 kJ/mol of atoms

a b c (Å): 8.5402 8.5402 8.5402
angles (deg): 145.75 136.77 56.27
Fractional positions:
Sc 0.0000 0.0000 0.0000
Sc 0.2028 0.1982 0.0046
Sc 0.3064 0.8018 0.5046
Sc 0.3593 0.6093 0.7500
Sc 0.5000 0.0000 0.5000
Sc 0.6407 0.3907 0.2500
Sc 0.6936 0.1982 0.4954
Sc 0.7972 0.8018 0.9954
Bi 0.1405 0.3905 0.7500
Bi 0.8595 0.6095 0.2500

=====

2.
Entry from Alexandria via LeMat-Bulk: crystalline Sc5Bi2 at its relaxed geometry (GGA-PBE).

**Excess energy over the best structure of this formula in the dataset**: 8.88 kJ/mol of atoms

a b c (Å): 7.9995 7.9995 8.1961
angles (deg): 94.74 94.74 41.48
Fractional positions:
Sc 0.0370 0.6819 0.0390
Sc 0.1418 0.4237 0.6882
Sc 0.2335 0.7665 0.7500
Sc 0.3181 0.9630 0.4610
Sc 0.4237 0.1418 0.1882
Sc 0.5763 0.8582 0.8118
Sc 0.6819 0.0370 0.5390
Sc 0.7665 0.2335 0.2500
Sc 0.8582 0.5763 0.3118
Sc 0.9630 0.3181 0.9610
Bi 0.2200 0.6026 0.4019
Bi 0.3974 0.7800 0.0981
Bi 0.6026 0.2200 0.9019
Bi 0.7800 0.3974 0.5981

=====

3.
Entry from Alexandria via LeMat-Bulk: crystalline ScBi4 at its relaxed geometry (GGA-PBE).

a b c (Å): 5.6121 5.6121 5.6121
angles (deg): 90.00 90.00 90.00
Fractional positions:
Sc 0.0000 0.0000 0.0000
Bi 0.0000 0.0000 0.5000
Bi 0.0000 0.5000 0.0000
Bi 0.5000 0.0000 0.0000
Bi 0.5000 0.5000 0.5000

=====

4.
Entry from Alexandria via LeMat-Bulk: crystalline Sc3Bi at its relaxed geometry (GGA-PBE).

a b c (Å): 6.5179 6.5179 5.1640
angles (deg): 90.00 90.00 120.00
Fractional positions:
Sc 0.1648 0.3296 0.2500
Sc 0.1648 0.8352 0.2500
Sc 0.3296 0.1648 0.7500
Sc 0.6704 0.8352 0.2500
Sc 0.8352 0.1648 0.7500
Sc 0.8352 0.6704 0.7500
Bi 0.3333 0.6667 0.7500
Bi 0.6667 0.3333 0.2500

=====

5.
Entry from Alexandria via LeMat-Bulk: crystalline ScBi5 at its relaxed geometry (GGA-PBE).

a b c (Å): 4.5592 16.3064 4.8974
angles (deg): 90.00 90.00 90.00
Fractional positions:
Sc 0.0000 0.0000 0.0000
Sc 0.5000 0.5000 0.0000
Bi 0.0000 0.1632 0.5000
Bi 0.0000 0.3531 0.0000
Bi 0.0000 0.5000 0.5000
Bi 0.0000 0.6469 0.0000
Bi 0.0000 0.8368 0.5000
Bi 0.5000 0.0000 0.5000
Bi 0.5000 0.1469 0.0000
Bi 0.5000 0.3368 0.5000
Bi 0.5000 0.6632 0.5000
Bi 0.5000 0.8531 0.0000

=====

6.
Entry from Alexandria via LeMat-Bulk: crystalline ScBi3 at its relaxed geometry (GGA-PBE).

a b c (Å): 4.6099 4.6099 10.9155
angles (deg): 90.00 90.00 90.00
Fractional positions:
Sc 0.0000 0.0000 0.0000
Sc 0.5000 0.5000 0.5000
Bi 0.0000 0.0000 0.5000
Bi 0.0000 0.5000 0.2500
Bi 0.0000 0.5000 0.7500
Bi 0.5000 0.0000 0.2500
Bi 0.5000 0.0000 0.7500
Bi 0.5000 0.5000 0.0000

=====

7.
Entry from Alexandria via LeMat-Bulk: crystalline Sc5Bi2 at its relaxed geometry (GGA-PBE).

**Excess energy over the best structure of this formula in the dataset**: 0.00 kJ/mol of atoms

a b c (Å): 18.6756 18.6756 4.3197
angles (deg): 90.00 90.00 166.66
Fractional positions:
Sc 0.0333 0.9667 0.7500
Sc 0.1077 0.8923 0.2500
Sc 0.2501 0.7499 0.7500
Sc 0.3227 0.6773 0.2500
Sc 0.4668 0.5332 0.7500
Sc 0.5332 0.4668 0.2500
Sc 0.6773 0.3227 0.7500
Sc 0.7499 0.2501 0.2500
Sc 0.8923 0.1077 0.7500
Sc 0.9667 0.0333 0.2500
Bi 0.1887 0.8113 0.2500
Bi 0.4047 0.5953 0.2500
Bi 0.5953 0.4047 0.7500
Bi 0.8113 0.1887 0.7500

=====

8.
Entry from Alexandria via LeMat-Bulk: crystalline ScBi3 at its relaxed geometry (GGA-PBE).

a b c (Å): 3.9936 9.0398 6.6158
angles (deg): 90.00 90.00 90.00
Fractional positions:
Sc 0.0000 0.0000 0.0000
Sc 0.5000 0.5000 0.5000
Bi 0.0000 0.2934 0.7523
Bi 0.0000 0.5000 0.1444
Bi 0.0000 0.7066 0.7523
Bi 0.5000 0.0000 0.6444
Bi 0.5000 0.2066 0.2523
Bi 0.5000 0.7934 0.2523

=====

It is found that the total moment values, taken in the order of the records, are 1.776, 0.000, 0.000, 0.005, 0.000, 0.000, 0.528, 0.000 Bohr magnetons per cell.
It is found that the formation enthalpy at 0 K values, taken in the order of the records, are -0.179, -0.368, 0.253, -0.326, -0.104, -0.165, -0.460, -0.197 eV/atom.